Record 1
Here is an optimized crystal structure of SrSiTe2 from the Alexandria database. Energies are from GGA-PBE.

Properties
- Raw total energy: -3.774 eV/atom

Geometry as POSCAR:
```
SrSiTe2
1.0
-1.0301 0.8319 -6.1426
3.4696 -3.5678 -3.8364
-4.1195 -0.2929 4.7360
Si Sr Te
1 1 2
Cartesian
1.2948 -1.4521 -5.2964 Si
0.3293 -2.6640 -2.2261 Sr
2.4076 -2.7001 -9.8485 Te
-2.0523 -0.3164 -2.8405 Te
```



Record 2
Here is an optimized crystal structure of HfAgTe4 from the Alexandria database. Energies are from GGA-PBE.

Properties
- Raw total energy: -4.546 eV/atom

Geometry as POSCAR:
```
HfAgTe4
1.0
4.1067 0.0000 0.0000
0.0000 5.9765 0.2906
0.0000 -0.8804 7.6954
Ag Te Hf
1 4 1
Cartesian
0.0000 0.0000 0.0000 Ag
2.0534 0.5797 6.4838 Te
0.0000 3.6116 4.9962 Te
2.0534 4.5164 1.5022 Te
0.0000 1.4845 2.9898 Te
2.0534 -0.4402 3.8477 Hf
```



Q: Among the records above, which one has the lowest raw total energy?
A: HfAgTe4